The following is a DFT calculation (PBE+U) of an optimized crystal structure of Li24Ti11CrO36.

Values from the calculation:
The total magnetic moment comes out at 1.832 μB/f.u. As for the energy: -7.00 eV per atom.

a b c (Å): 5.1084 10.6791 13.1794
angles (deg): 112.22 97.03 94.92
Closest atoms and distances in Å follow each position.
Sites, in units of the cell vectors:
Li (0.7891, 0.0583, 0.0609)  6 O 2.09-2.30
Li (0.6663, 0.3338, 0.0827)  6 O 2.11-2.16
Li (0.8888, 0.2726, 0.2737)  6 O 2.09-2.24
Li (0.3372, 0.1672, 0.1645)  6 O 2.06-2.22
Li (0.5587, 0.6081, 0.1064)  6 O 2.08-2.23
Li (0.0005, 0.0001, 0.2499)  6 O 2.12-2.14
Li (0.0002, 0.4995, 0.9991)  6 O 2.06-2.21
Li (0.7819, 0.0602, 0.5596)  6 O 2.09-2.23
Li (0.4433, 0.3930, 0.3921)  6 O 2.09-2.24
Li (0.6661, 0.3331, 0.5832)  6 O 2.12-2.15
Li (0.6664, 0.8326, 0.3331)  6 O 2.06-2.21
Li (0.1112, 0.7282, 0.2267)  6 O 2.10-2.24
Li (0.8853, 0.2724, 0.7740)  6 O 2.09-2.22
Li (0.3351, 0.1673, 0.6658)  6 O 2.04-2.26
Li (0.3355, 0.6665, 0.4167)  6 O 2.12-2.15
Li (0.5515, 0.6071, 0.6068)  6 O 2.09-2.23
Li (0.9976, 0.4988, 0.5012)  6 O 2.05-2.23
Li (0.2181, 0.9404, 0.4393)  6 O 2.10-2.23
Li (0.4379, 0.3945, 0.8939)  6 O 2.09-2.31
Li (0.6640, 0.8302, 0.8322)  6 O 2.05-2.22
Li (0.1138, 0.7266, 0.7273)  6 O 2.10-2.24
Li (0.3331, 0.6670, 0.9166)  6 O 2.11-2.15
Li (0.9975, 0.0009, 0.7515)  6 O 2.10-2.16
Li (0.2126, 0.9413, 0.9404)  6 O 2.08-2.26
Ti (0.8903, 0.7783, 0.0283)  6 O 1.97-1.99
Ti (0.5553, 0.1118, 0.3615)  6 O 1.97-1.99
Ti (0.7856, 0.5521, 0.3058)  6 O 1.93-2.04
Ti (0.2318, 0.4501, 0.1922)  6 O 1.91-2.07
Ti (0.4450, 0.8886, 0.1378)  6 O 1.96-1.99
Ti (0.1100, 0.2212, 0.4713)  6 O 1.96-1.99
Ti (0.8938, 0.7772, 0.5293)  6 O 1.95-2.02
Ti (0.5494, 0.1066, 0.8648)  6 O 1.92-2.05
Ti (0.7766, 0.5539, 0.8051)  6 O 1.97-2.00
Ti (0.2219, 0.4448, 0.6949)  6 O 1.97-1.99
Ti (0.4479, 0.8911, 0.6367)  6 O 1.93-2.04
Cr (0.1018, 0.2236, 0.9722)  6 O 1.88-2.01
O (0.4243, 0.1417, 0.0036)  1 Ti 1.92, 1 Cr 2.00, 3 Li 2.11-2.14
O (0.6445, 0.0773, 0.2111)  2 Ti 1.99, 4 Li 2.06-2.14
O (0.9069, 0.5275, 0.1640)  2 Ti 1.97, 3 Li 2.11-2.20
O (0.3139, 0.4121, 0.0447)  1 Ti 1.94, 1 Cr 2.01, 4 Li 2.06-2.15
O (0.8804, 0.0434, 0.4064)  2 Ti 1.96-1.98, 2 Li 2.09-2.12
O (0.0262, 0.2540, 0.1168)  1 Cr 1.90, 1 Li 2.06, 1 Ti 2.07
O (0.5480, 0.3769, 0.2392)  2 Ti 1.96-1.99, 3 Li 2.10-2.19
O (0.7867, 0.2899, 0.4268)  2 Ti 1.97-1.98, 3 Li 2.09-2.19
O (0.7619, 0.8060, 0.1691)  2 Ti 1.97-1.98, 4 Li 2.08-2.20
O (0.2385, 0.1943, 0.3307)  2 Ti 1.97-1.98, 3 Li 2.09-2.20
O (0.2141, 0.7106, 0.0731)  2 Ti 1.97, 2 Li 2.10-2.11
O (0.4534, 0.6236, 0.2595)  2 Ti 1.91-2.04, 2 Li 2.10-2.12
O (0.4280, 0.1392, 0.5022)  2 Ti 1.97-1.98, 3 Li 2.10-2.18
O (0.9768, 0.7430, 0.3782)  2 Ti 1.99, 4 Li 2.06-2.15
O (0.1197, 0.9569, 0.0933)  2 Ti 1.97-1.98, 3 Li 2.08-2.17
O (0.6901, 0.5893, 0.4552)  2 Ti 1.99, 4 Li 2.06-2.16
O (0.0948, 0.4710, 0.3345)  2 Ti 1.93-2.02, 2 Li 2.09-2.14
O (0.6393, 0.0775, 0.7121)  2 Ti 1.96-2.03, 4 Li 2.04-2.17
O (0.3570, 0.9234, 0.2885)  2 Ti 1.99, 4 Li 2.06-2.15
O (0.9048, 0.5270, 0.6644)  2 Ti 1.97-1.98, 3 Li 2.10-2.17
O (0.3093, 0.4103, 0.5449)  2 Ti 1.98-1.99, 4 Li 2.05-2.15
O (0.8766, 0.0430, 0.9065)  1 Ti 1.95, 1 Cr 1.98, 2 Li 2.09-2.10
O (0.0236, 0.2559, 0.6221)  2 Ti 1.99, 4 Li 2.05-2.15
O (0.5710, 0.8613, 0.4978)  2 Ti 1.93-2.02, 2 Li 2.10-2.12
O (0.5460, 0.3761, 0.7405)  2 Ti 1.97-1.98, 3 Li 2.10-2.18
O (0.7958, 0.2897, 0.9287)  1 Cr 1.88, 1 Ti 2.05, 2 Li 2.09-2.11
O (0.7598, 0.8062, 0.6691)  2 Ti 1.97-1.98, 3 Li 2.10-2.19
O (0.2352, 0.1951, 0.8351)  1 Cr 1.93, 1 Ti 2.00, 2 Li 2.09-2.12
O (0.2128, 0.7104, 0.5735)  2 Ti 1.95-2.00, 2 Li 2.10-2.13
O (0.4526, 0.6228, 0.7602)  2 Ti 1.97-1.98, 3 Li 2.09-2.17
O (0.9759, 0.7432, 0.8778)  2 Ti 1.99-2.00, 4 Li 2.05-2.15
O (0.1188, 0.9569, 0.5938)  2 Ti 1.97-1.98, 2 Li 2.10-2.13
O (0.6900, 0.5897, 0.9555)  2 Ti 1.99, 4 Li 2.06-2.16
O (0.0939, 0.4721, 0.8359)  2 Ti 1.97-1.98, 4 Li 2.10-2.18
O (0.3557, 0.9232, 0.7901)  2 Ti 1.94-2.04, 4 Li 2.06-2.16
O (0.5728, 0.8610, 0.9977)  2 Ti 1.96-1.98, 3 Li 2.10-2.19